The following is a DFT calculation (GGA-PBEsol) of LiMn4Pb after structural relaxation.

Properties
Symmetry   F-43m
Formation enthalpy at 0 K   0.4689 eV per atom
Magnetization   0.0 μB per formula unit
Uncorrected energy   -0.25845 Ha/atom
Calculated density   9.38 g/cm³

a = 4.7716 Å, b = 4.7716 Å, c = 4.7716 Å
α = 60.00°, β = 60.00°, γ = 60.00°
Last column: nearest neighbours and their distance in Å.
Fractional coordinates of all 6 atoms:
Li  0.0000  0.0000  0.0000  12 Mn 2.80, 4 Pb 2.92
Mn  0.1225  0.6258  0.6258  6 Mn 2.37-2.40
Mn  0.6258  0.1225  0.6258  6 Mn 2.37-2.40
Mn  0.6258  0.6258  0.1225  6 Mn 2.37-2.40
Mn  0.6258  0.6258  0.6258  6 Mn 2.37-2.40
Pb  0.2500  0.2500  0.2500  12 Mn 2.80, 4 Li 2.92